# MgAl2CuRu

Crystalline MgAl2CuRu at its relaxed geometry (PBE, Alexandria via LeMat-Bulk).

Output
DOS(E_F) = 0.589 states/eV per atom
VASP energy = -3.137 eV per atom

abc: 4.771 4.771 4.475
angles: 90.00 90.00 90.00
Space group P4/mmm (No. 123)
Unique sites:
Mg1 0.000 0.000 0.000 [1 per cell]
Al1 0.000 0.500 0.000 [2 per cell]
Cu1 0.500 0.500 0.500 [1 per cell]
Ru1 0.000 0.000 0.500 [1 per cell]

=====

# Co4SbAs

Crystalline Co4SbAs at its relaxed geometry (PBE, Alexandria via LeMat-Bulk).

Output
Uncorrected formation energy = 0.295 eV/atom
DOS(E_F) = 1.360 states/eV per atom

abc: 6.944 6.944 6.944
angles: 90.00 90.00 90.00
Space group F-43m (No. 216)
Unique sites:
Co1 0.125 0.125 0.125 [16 per cell]
Sb1 0.250 0.250 0.750 [4 per cell]
As1 0.000 0.000 0.500 [4 per cell]

=====

# Li12Mg6Pd

Crystalline Li12Mg6Pd at its relaxed geometry (PBE, Alexandria via LeMat-Bulk).

Output
DOS(E_F) = 0.436 states/eV per atom
VASP energy = -2.071 eV per atom

abc: 10.3970 10.3970 12.3611
angles: 90.00 90.00 120.00
Space group R-3 (No. 148, hexagonal axes)
Unique sites:
Li1 0.0401 0.1777 0.3134 [18 per cell]
Li2 0.0621 0.8567 0.9080 [18 per cell]
Mg1 0.0369 0.4409 0.2099 [18 per cell]
Pd1 0.0000 0.0000 0.5000 [3 per cell]

=====

# Rb3Tm3SbSe8

Crystalline Rb3Tm3SbSe8 at its relaxed geometry (PBE, Alexandria via LeMat-Bulk).

Output
Uncorrected formation energy = -1.417 eV/atom
DOS(E_F) = 0.143 states/eV per atom

abc: 8.2654 8.2654 24.4499
angles: 90.00 90.00 120.00
Space group R-3m (No. 166, hexagonal axes)
Unique sites:
Rb1 0.0000 0.5000 0.0000 [9 per cell]
Tm1 0.0000 0.5000 0.5000 [9 per cell]
Sb1 0.0000 0.0000 0.5000 [3 per cell]
Se1 0.0000 0.0000 0.2307 [6 per cell]
Se2 0.0028 0.5014 0.2300 [18 per cell]

=====

# Te2W3Se4

Crystalline Te2W3Se4 at its relaxed geometry (PBE, Alexandria via LeMat-Bulk).

Output
Uncorrected formation energy = -0.377 eV/atom

abc: 3.3952 3.3952 22.2922
angles: 90.00 90.00 120.00
Space group P-6m2 (No. 187)
Unique sites:
Te1 0.0000 0.0000 0.0845 [2 per cell]
W1 0.0000 0.0000 0.3287 [2 per cell]
W2 0.3333 0.6667 0.0000 [1 per cell]
Se1 0.3333 0.6667 0.2544 [2 per cell]
Se2 0.3333 0.6667 0.4029 [2 per cell]

=====

# Y3P2Pt7

Crystalline Y3P2Pt7 at its relaxed geometry (PBE, Alexandria via LeMat-Bulk).

Output
DOS(E_F) = 0.630 states/eV per atom
VASP energy = -7.065 eV per atom

abc: 4.142 4.014 13.346
angles: 90.00 98.73 90.00
Space group P2/m (No. 10)
Unique sites:
Y1 0.000 0.000 0.000 [1 per cell]
Y2 0.320 0.500 0.643 [2 per cell]
P1 0.133 0.000 0.268 [2 per cell]
Pt1 0.090 0.500 0.174 [2 per cell]
Pt2 0.221 0.000 0.439 [2 per cell]
Pt3 0.415 0.000 0.832 [2 per cell]
Pt4 0.500 0.500 0.000 [1 per cell]

=====

# Bi3PtBr

Crystalline Bi3PtBr at its relaxed geometry (PBE, Alexandria via LeMat-Bulk).

Output
Uncorrected formation energy = 1.219 eV/atom
DOS(E_F) = 1.206 states/eV per atom

abc: 5.544 5.544 5.544
angles: 90.00 90.00 90.00
Space group Pm-3m (No. 221)
Unique sites:
Bi1 0.000 0.000 0.500 [3 per cell]
Pt1 0.500 0.500 0.500 [1 per cell]
Br1 0.000 0.000 0.000 [1 per cell]

=====

# Ba3Cu2PbO6

Crystalline Ba3Cu2PbO6 at its relaxed geometry (PBE, Alexandria via LeMat-Bulk).

Output
Uncorrected formation energy = -1.499 eV/atom
DOS(E_F) = 0.514 states/eV per atom

abc: 6.2218 6.2218 6.8672
angles: 90.00 90.00 120.00
Space group P-3m1 (No. 164)
Unique sites:
Ba1 0.0000 0.0000 0.0000 [1 per cell]
Ba2 0.3333 0.6667 0.6442 [2 per cell]
Cu1 0.3333 0.6667 0.1966 [2 per cell]
Pb1 0.0000 0.0000 0.5000 [1 per cell]
O1 0.1686 0.3372 0.3010 [6 per cell]

=====

Magnetic moment readings, ordered: 0.00 24.85 0.00 0.00 0.00 0.00 0.00 0.00 μB/cell